An optimized crystal structure of AlAuS2. Source: Alexandria, functional PBE.

Geometry as extended XYZ:
```
16
Lattice="-5.100 -3.663 1.453 4.516 -3.657 6.632 -2.149 4.575 3.986" Properties=species:S:1:pos:R:3 pbc="T T T"
S -3.991 0.731 4.107
S -4.264 -3.404 2.621
S 0.057 1.349 5.581
S 2.186 -0.736 8.234
S -0.684 -2.406 3.406
S 1.546 -4.091 7.429
S -2.502 -4.708 5.955
S -1.393 -1.734 7.450
Al -3.081 -3.282 7.697
Al 1.259 -1.403 2.684
Al -2.357 -2.371 1.845
Al 0.535 -2.314 8.536
Au 1.188 1.326 8.802
Au -2.085 -0.633 4.088
Au -1.428 -0.451 9.431
Au -4.702 -2.411 4.717
```

## Properties
E_form (uncorrected)   -0.64 eV per atom

An optimized crystal structure of MnBeAg2. Source: Alexandria, functional PBE.

Geometry as extended XYZ:
```
8
Lattice="3.778 0.000 0.000 0.000 3.778 0.000 1.889 1.889 9.173" Properties=species:S:1:pos:R:3 pbc="T T T"
Mn 3.778 1.889 4.586
Mn 0.000 0.000 0.000
Be 1.889 3.778 4.586
Be 1.889 1.889 0.000
Ag 2.801 0.945 2.293
Ag 0.978 2.834 2.293
Ag 4.723 4.690 6.880
Ag 2.834 2.867 6.880
```

## Properties
ΔE_f   0.589 eV/atom

An optimized crystal structure of MnNiP2. Source: Alexandria, functional PBE.

Geometry as extended XYZ:
```
4
Lattice="-1.075 -1.068 4.567 1.882 -3.934 2.032 1.495 3.797 -2.550" Properties=species:S:1:pos:R:3 pbc="T T T"
P 0.000 0.000 0.000
P 1.890 -1.319 1.391
Ni 0.412 0.114 2.658
Mn 0.404 -2.501 3.300
```

## Properties
ΔE_f   -0.053 eV/atom

An optimized crystal structure of NaZrHg3. Source: Alexandria, functional PBE.

Geometry as extended XYZ:
```
5
Lattice="5.618 0.000 0.000 0.000 5.618 0.000 0.000 0.000 5.618" Properties=species:S:1:pos:R:3 pbc="T T T"
Na 2.809 2.809 2.809
Zr 0.000 0.000 0.000
Hg 0.000 2.809 0.000
Hg 2.809 0.000 0.000
Hg 0.000 0.000 2.809
```

## Properties
ΔE_f   0.305 eV/atom
E above lowest polymorph   0 meV per atom

An optimized crystal structure of LiPbNF2. Source: Alexandria, functional PBE.

Geometry as extended XYZ:
```
5
Lattice="-3.005 3.480 0.220 -3.483 -3.009 0.033 0.150 -0.129 4.093" Properties=species:S:1:pos:R:3 pbc="T T T"
F -1.741 -1.505 0.016
F -1.502 1.740 0.110
Li -3.169 0.171 2.173
N 0.075 -0.065 2.046
Pb 0.000 0.000 0.000
```

## Properties
E_form (uncorrected)   -0.76 eV per atom
E above lowest polymorph   252 meV per atom

An optimized crystal structure of BaSr4Te5. Source: Alexandria, functional PBE.

Geometry as extended XYZ:
```
10
Lattice="4.766 0.000 -0.672 -0.095 4.765 -0.672 0.010 0.010 17.316" Properties=species:S:1:pos:R:3 pbc="T T T"
Sr 3.738 3.813 9.280
Sr 0.943 0.962 6.693
Sr 1.869 1.906 13.261
Sr 2.813 2.869 2.712
Te 3.276 3.342 5.999
Te 0.482 0.492 3.423
Te 4.199 4.283 12.550
Te 2.336 2.383 -0.672
Te 1.406 1.434 9.974
Ba 0.000 0.000 0.000
```

## Properties
E_form (uncorrected)   -1.74 eV per atom

An optimized crystal structure of CeSi4Ni2Os. Source: Alexandria, functional PBE.

Geometry as extended XYZ:
```
8
Lattice="-3.878 0.089 0.856 -2.596 -1.876 -2.349 -1.262 -7.860 4.314" Properties=species:S:1:pos:R:3 pbc="T T T"
Si -1.597 -5.142 2.513
Si -3.610 -6.919 2.799
Si -6.139 -4.506 0.308
Si -4.126 -2.728 0.023
Os -3.868 -4.824 1.411
Ni -5.848 -6.867 1.872
Ni -1.889 -2.781 0.950
Ce 0.000 0.000 0.000
```

## Properties
E_form (uncorrected)   -0.43 eV per atom

An optimized crystal structure of AcTmPb2. Source: Alexandria, functional PBE.

Geometry as extended XYZ:
```
4
Lattice="4.148 0.000 0.000 0.000 4.148 0.000 0.000 0.000 7.327" Properties=species:S:1:pos:R:3 pbc="T T T"
Pb 0.000 0.000 5.257
Pb 0.000 0.000 2.070
Tm 2.074 2.074 3.664
Ac 2.074 2.074 0.000
```

## Properties
ΔE_f   -0.410 eV/atom

An optimized crystal structure of RbZnIn2Os. Source: Alexandria, functional PBE.

Geometry as extended XYZ:
```
5
Lattice="5.246 0.000 0.000 0.000 5.246 0.000 0.000 0.000 5.061" Properties=species:S:1:pos:R:3 pbc="T T T"
Zn 0.000 0.000 2.530
Os 0.000 0.000 0.000
In 0.000 2.623 0.000
In 2.623 0.000 0.000
Rb 2.623 2.623 2.530
```

## Properties
ΔE_f   0.076 eV/atom

An optimized crystal structure of YZn2Pb2. Source: Alexandria, functional PBE.

Geometry as extended XYZ:
```
10
Lattice="-3.557 0.667 7.017 5.706 -4.341 3.305 2.029 3.217 0.723" Properties=species:S:1:pos:R:3 pbc="T T T"
Pb 4.257 -1.229 3.886
Pb 0.915 1.034 3.197
Pb 3.262 -1.492 7.848
Pb -0.079 0.771 7.159
Y 0.000 0.000 0.000
Y 1.074 -1.837 5.161
Zn 1.782 -1.592 2.082
Zn -1.530 -0.091 4.702
Zn 3.679 -3.583 5.621
Zn 0.367 -2.083 8.241
```

## Properties
ΔE_f   -0.129 eV/atom
E above lowest polymorph   0 meV per atom

An optimized crystal structure of Cs3DyAg2I8. Source: Alexandria, functional PBE.

Geometry as extended XYZ:
```
14
Lattice="-2.379 6.777 4.668 -1.872 -7.918 2.680 9.583 -0.411 5.481" Properties=species:S:1:pos:R:3 pbc="T T T"
Ag 5.465 1.549 8.396
Ag -0.134 -3.101 4.434
I 1.254 -5.661 4.840
I 3.119 0.062 9.360
I 7.120 -3.413 8.583
I 0.038 -2.197 7.226
I 2.212 -1.614 3.470
I -1.789 1.860 4.247
I 4.077 4.109 7.990
I 5.293 0.645 5.603
Cs 0.000 0.000 0.000
Cs 1.398 1.724 6.070
Cs 3.933 -3.276 6.760
Dy 4.791 -0.205 2.740
```

## Properties
E_form (uncorrected)   -1.10 eV per atom

An optimized crystal structure of Tm2Si3NiIr4. Source: Alexandria, functional PBE.

Geometry as extended XYZ:
```
10
Lattice="4.064 0.000 0.000 0.000 4.064 0.000 0.000 0.000 9.998" Properties=species:S:1:pos:R:3 pbc="T T T"
Ir 2.032 2.032 0.000
Ir 0.000 2.032 3.644
Ir 0.000 0.000 0.000
Ir 2.032 0.000 6.354
Si 0.000 0.000 4.999
Si 2.032 0.000 8.694
Si 0.000 2.032 1.305
Ni 2.032 2.032 4.999
Tm 2.032 0.000 2.530
Tm 0.000 2.032 7.468
```

## Properties
E_form (uncorrected)   -0.93 eV per atom

Which density belongs to each record? In order, 5.23; 7.09; 6.00; 6.70; 5.09; 4.75; 7.77; 10.67; 6.80; 8.73; 4.24; 12.57 g/cm3.
Which spin magnetization belongs to each record? In order, 0.00; 3.64; 2.76; 0.00; 0.28; 0.00; 0.95; 0.00; 0.00; 0.00; 0.00; 0.00 μB/f.u..